Compound: BaSrPBr
Source: Alexandria via LeMat-Bulk
Functional: PBE
Structure: relaxed

Cell lengths 4.5843, 4.5843, 8.2053 Å; angles 73.78, 73.78, 60.00 degrees
With the nearest neighbours (Å) after each atom.
Positions (direct):
Ba: 0.5138 0.5138 0.4585  3 P 3.16
P: 0.2545 0.2545 0.2365  3 Sr 3.06, 3 Ba 3.16
Br: 0.7450 0.7450 0.7651  3 Sr 3.40, 3 Ba 3.56
Sr: 0.9867 0.9867 0.0399  3 P 3.06, 3 Br 3.40

Calculated values
VASP energy	-16.9	eV/cell
symmetry	R3m, No. 160

=====

Compound: K2PaZnTe4
Source: Alexandria via LeMat-Bulk
Functional: PBE
Structure: relaxed

Cell lengths 7.4233, 7.1291, 7.1291 Å; angles 74.27, 58.63, 58.63 degrees
With the nearest neighbours (Å) after each atom.
Positions (direct):
Zn: 0.5000 0.0000 0.0000  4 Te 2.74
Pa: 0.0000 0.0000 0.0000  4 Te 2.99
Te: 0.9025 0.0000 0.6424  1 Zn 2.74, 1 Pa 2.99
Te: 0.4551 0.6424 0.0000  1 Zn 2.74, 1 Pa 2.99
Te: 0.5449 0.0000 0.3576  1 Zn 2.74, 1 Pa 2.99
Te: 0.0975 0.3576 0.0000  1 Zn 2.74, 1 Pa 2.99
K: 0.5000 0.5000 0.5000  8 Te 3.57-3.77, 2 K 3.71
K: 0.0000 0.5000 0.5000  8 Te 3.57-3.77, 2 K 3.71

Calculated values
VASP energy	-31.4	eV/cell
symmetry	I-42m, No. 121

=====

no.,total moment (μB/f.u.),raw formation energy (kJ/mol of formula units)
1,0.00,-603
2,1.00,-566